8
Lattice="-5.879 1.026 -1.889 -2.165 -2.751 5.243 -0.408 4.907 3.937" Properties=species:S:1:pos:R:3 comment="CsNaAgP PBE optimized geometry" space_group="Ama2, No. 40" relative_energy_mev_per_atom=75.3 energy_ev_per_cell=-22.7 pbc="T T T"
Cs -6.307 3.624 6.042
Cs -3.854 0.990 7.348
Ag -1.277 1.070 4.555
Ag -4.216 1.583 3.610
P -3.123 -0.519 4.251
P -5.231 3.618 2.688
Na -2.221 -0.463 1.474
Na -4.641 2.313 0.144

4
Lattice="0.000 3.247 3.247 3.247 0.000 3.247 3.247 3.247 0.000" Properties=species:S:1:pos:R:3 comment="YHfFeSi PBE optimized geometry" space_group="F-43m, No. 216" relative_energy_mev_per_atom=0.0 energy_ev_per_cell=-29.6 pbc="T T T"
Si 0.000 0.000 0.000
Fe 4.870 4.870 4.870
Y 1.623 1.623 1.623
Hf 3.247 3.247 3.247

28
Lattice="-4.695 7.027 -7.048 -4.372 -6.275 -3.343 -10.707 2.390 9.517" Properties=species:S:1:pos:R:3 comment="Cs2CoI4 PBE optimized geometry" space_group="Pnma, No. 62" energy_ev_per_cell=-83.0 pbc="T T T"
I -13.058 4.243 -1.273
I -6.998 1.952 -4.961
I -8.276 1.130 3.492
I -10.604 4.309 5.749
I -6.717 -1.100 0.399
I -7.697 2.863 -0.517
I -12.939 -2.518 6.019
I -6.837 5.660 -6.893
I -12.078 0.279 -0.356
I -12.777 1.191 4.088
I -5.735 -2.264 -3.879
I -8.890 -4.219 -1.262
I -10.885 7.361 0.389
I -11.499 2.012 -4.366
I -9.171 -1.167 -6.623
I -14.040 5.406 3.005
Cs -10.646 3.672 1.823
Cs -10.135 0.568 6.978
Cs -15.797 1.854 1.550
Cs -9.129 -0.529 -2.696
Cs -10.390 -2.342 2.355
Cs -9.640 2.574 -7.852
Cs -3.978 1.288 -2.424
Cs -9.385 5.484 -3.229
Co -12.923 1.861 -2.220
Co -6.852 1.282 1.346
Co -14.282 -0.825 4.598
Co -5.493 3.967 -5.472

29
Lattice="-4.986 4.986 4.986 4.986 -4.986 4.986 4.986 4.986 -4.986" Properties=species:S:1:pos:R:3 comment="Ta16Al13 PBE optimized geometry" space_group="I-43m, No. 217" relative_energy_mev_per_atom=0.0 energy_ev_per_cell=-241.4 pbc="T T T"
Al 2.193 4.069 4.069
Al 0.918 0.918 7.179
Al 7.179 0.918 0.918
Al 0.000 0.000 0.000
Al 2.794 -0.918 0.918
Al 4.069 4.069 2.193
Al 0.918 -0.918 2.794
Al 4.069 2.193 4.069
Al -0.918 2.794 0.918
Al -0.918 0.918 2.794
Al 2.794 0.918 -0.918
Al 0.918 2.794 -0.918
Al 0.918 7.179 0.918
Ta 3.618 -0.446 3.618
Ta 5.432 1.369 -1.369
Ta -3.242 3.242 3.242
Ta 1.369 4.541 1.369
Ta -1.369 1.369 5.432
Ta 4.541 1.369 1.369
Ta 1.369 1.369 4.541
Ta 3.242 -3.242 3.242
Ta -1.369 5.432 1.369
Ta 3.242 3.242 -3.242
Ta 3.618 3.618 -0.446
Ta 5.432 -1.369 1.369
Ta 1.369 5.432 -1.369
Ta -0.446 3.618 3.618
Ta 1.369 -1.369 5.432
Ta 1.745 1.745 1.745

9
Lattice="-5.246 -5.218 -3.043 7.600 -2.199 1.185 -0.956 -1.257 3.803" Properties=species:S:1:pos:R:3 comment="Dy3Hf3Bi2Os PBE optimized geometry" space_group="P-62m, No. 189" relative_energy_mev_per_atom=0.0 energy_ev_per_cell=-67.3 pbc="T T T"
Dy 1.432 -4.510 -1.130
Dy 2.978 -0.862 0.464
Dy -2.056 -2.045 -1.193
Os 0.000 0.000 0.000
Bi -1.442 -4.840 0.268
Bi 2.840 -3.833 1.677
Hf -4.554 -4.682 -0.463
Hf 0.047 -2.283 1.487
Hf 5.426 -2.337 2.822

8
Lattice="-1.721 -5.844 -2.241 0.725 0.945 6.381 -4.756 1.265 0.353" Properties=species:S:1:pos:R:3 comment="GdCd6Ag PBE optimized geometry" space_group="P-6m2, No. 187" formation_enthalpy_0k_ev_per_fu=-0.90 energy_ev_per_cell=-13.8 pbc="T T T"
Cd -3.329 -3.607 2.562
Cd -1.347 -5.327 0.942
Cd -2.831 -1.159 0.493
Cd -0.862 -2.939 -1.076
Cd -3.691 -4.079 -0.626
Cd -0.508 -2.478 2.034
Gd -2.468 -0.685 3.684
Ag 0.000 0.000 0.000

8
Lattice="-2.563 2.885 -0.333 -2.758 -2.278 1.487 2.097 2.808 8.190" Properties=species:S:1:pos:R:3 comment="As2OsO PBE optimized geometry" space_group="P4/nmm, No. 129" energy_ev_per_cell=-50.9 pbc="T T T"
Os 1.048 1.404 4.095
Os -1.612 1.707 4.672
As -0.599 2.356 2.498
As 0.036 0.755 6.269
As 0.603 3.966 7.194
As -1.166 -0.855 1.573
O 0.000 0.000 0.000
O -2.660 0.304 0.577

12
Lattice="6.679 0.000 0.000 0.000 3.622 0.000 0.000 0.000 9.066" Properties=species:S:1:pos:R:3 comment="ZrAsP PBE optimized geometry" space_group="Pnma, No. 62" energy_ev_per_cell=-84.8 pbc="T T T"
As 4.163 2.717 4.927
As 2.516 0.906 4.138
As 5.856 0.906 0.395
As 0.823 2.717 8.671
Zr 5.230 0.906 3.074
Zr 1.891 0.906 1.459
Zr 4.788 2.717 7.607
Zr 1.449 2.717 5.992
P 3.943 2.717 1.377
P 0.604 2.717 3.156
P 6.075 0.906 5.910
P 2.736 0.906 7.689

Which formula does entry 6 have? GdCd6Ag